No. 1
This record from Alexandria describes a geometry-optimized LaY2Ho8 structure. The functional is GGA-PBE.

The structure in CIF format:
```
data_LaY2Ho8
_chemical_formula_sum 'La2 Y4 Ho16'
_cell_length_a 5.5029
_cell_length_b 8.1217
_cell_length_c 15.9545
_cell_angle_alpha 90.00
_cell_angle_beta 90.00
_cell_angle_gamma 90.00
_symmetry_space_group_name_H-M 'I m m m'
_symmetry_Int_Tables_number 71
_symmetry_space_group_name_Hall '-I 2 2'
loop_
_atom_site_label
_atom_site_type_symbol
_atom_site_fract_x
_atom_site_fract_y
_atom_site_fract_z
La1 La 0.0000 0.0000 0.0000
Y1 Y 0.0000 0.0000 0.3002
Ho1 Ho 0.0000 0.2044 0.5000
Ho2 Ho 0.0000 0.2944 0.1399
Ho3 Ho 0.0000 0.5000 0.3362
```

Energy above the lowest structure with this stoichiometry in meV/atom: 0
Fermi-level density of states in states/eV per cell: 33.4
E in eV per atom: -4.83
ΔE_f in eV/atom: 0.13

No. 2
This record from Alexandria describes a geometry-optimized NaLi3Ag2 structure. The functional is GGA-PBE.

The structure in CIF format:
```
data_NaLi3Ag2
_chemical_formula_sum 'Na1 Li3 Ag2'
_cell_length_a 3.2788
_cell_length_b 3.2788
_cell_length_c 10.7168
_cell_angle_alpha 90.00
_cell_angle_beta 90.00
_cell_angle_gamma 90.00
_symmetry_space_group_name_H-M 'P 4/m m m'
_symmetry_Int_Tables_number 123
_symmetry_space_group_name_Hall '-P 4 2'
loop_
_atom_site_label
_atom_site_type_symbol
_atom_site_fract_x
_atom_site_fract_y
_atom_site_fract_z
Na1 Na 0.0000 0.0000 0.0000
Li1 Li 0.5000 0.5000 0.2199
Li2 Li 0.5000 0.5000 0.5000
Ag1 Ag 0.0000 0.0000 0.3551
```

Energy above the lowest structure with this stoichiometry in meV/atom: 0
Fermi-level density of states in states/eV per cell: 1.5
E in eV per atom: -2.26
ΔE_f in eV/atom: -0.13

No. 3
This record from Alexandria describes a geometry-optimized PrDyTmHg structure. The functional is GGA-PBE.

The structure in CIF format:
```
data_PrDyTmHg
_chemical_formula_sum 'Pr1 Dy1 Tm1 Hg1'
_cell_length_a 3.6420
_cell_length_b 3.6420
_cell_length_c 8.8870
_cell_angle_alpha 90.00
_cell_angle_beta 90.00
_cell_angle_gamma 90.00
_symmetry_space_group_name_H-M 'P 4 m m'
_symmetry_Int_Tables_number 99
loop_
_symmetry_equiv_pos_as_xyz
'x,y,z'
'-y,x,z'
'-x,-y,z'
'y,-x,z'
'-x,y,z'
'y,x,z'
'x,-y,z'
'-y,-x,z'
loop_
_atom_site_label
_atom_site_type_symbol
_atom_site_fract_x
_atom_site_fract_y
_atom_site_fract_z
Pr1 Pr 0.0000 0.0000 0.0000
Dy1 Dy 0.5000 0.5000 0.7124
Tm1 Tm 0.5000 0.5000 0.2844
Hg1 Hg 0.0000 0.0000 0.4919
```

Energy above the lowest structure with this stoichiometry in meV/atom: 0
Fermi-level density of states in states/eV per cell: 4.8
E in eV per atom: -3.77
ΔE_f in eV/atom: -0.23

No. 4
This record from Alexandria describes a geometry-optimized TeRuAuI2 structure. The functional is GGA-PBE.

The structure in CIF format:
```
data_TeRuAuI2
_chemical_formula_sum 'Te1 Ru1 Au1 I2'
_cell_length_a 5.5676
_cell_length_b 5.5676
_cell_length_c 4.9523
_cell_angle_alpha 90.00
_cell_angle_beta 90.00
_cell_angle_gamma 90.00
_symmetry_space_group_name_H-M 'P 4/m m m'
_symmetry_Int_Tables_number 123
_symmetry_space_group_name_Hall '-P 4 2'
loop_
_atom_site_label
_atom_site_type_symbol
_atom_site_fract_x
_atom_site_fract_y
_atom_site_fract_z
Te1 Te 0.0000 0.0000 0.0000
Ru1 Ru 0.0000 0.0000 0.5000
Au1 Au 0.5000 0.5000 0.0000
I1 I 0.0000 0.5000 0.5000
```

Energy above the lowest structure with this stoichiometry in meV/atom: 0
Fermi-level density of states in states/eV per cell: 3.8
Formation energy from raw total energies in eV/atom: 0.620
E in eV per atom: -3.14